LaPm2ZnN4 | PBE | optimized geometry

Unit cell a=3.5553 b=11.8192 c=12.0176 alpha=90.00 beta=90.00 gamma=90.00
Space group Cmcm (No. 63)
Symmetry-distinct sites (fractional):
La: 0.0000 0.1053 0.2500 (multiplicity 4)
Pm: 0.0000 0.3689 0.0507 (multiplicity 8)
Zn: 0.0000 0.1595 0.7500 (multiplicity 4)
N: 0.0000 0.0000 0.0000 (multiplicity 4)
N: 0.0000 0.2700 0.6239 (multiplicity 8)
N: 0.0000 0.4445 0.2500 (multiplicity 4)

Calculated values
* V: 15.78 Å³ per atom
* calculated density: 7.239 g cm⁻³
* formation energy from raw total energies: -7.41 eV per formula unit